Density functional theory data (PBE-GGA) for a relaxed K2YZr crystal.

a b c (Å): 3.558 3.557 12.727
angles (deg): 90.00 90.20 90.00
Space group Pm (No. 6)
One atom of each set of equivalent atoms:
K1 0.000 0.000 0.000 [1 per cell]
K2 0.495 0.500 0.327 [1 per cell]
Y1 0.500 0.500 0.732 [1 per cell]
Zr1 0.997 0.000 0.569 [1 per cell]

Values from the calculation:
DFT formation energy = 389.4 meV per atom
excess energy over the best structure of this formula in the dataset = 0.00 kJ/mol of atoms
D(E_F) = 3.12 states/eV per cell
E_tot = -15.6 eV per cell